Entry 1:
Material: LiNdDy2
Method: DFT, PBE
State: relaxed

Energy of formation in kJ/mol of atoms: 11.5
Offset from the most stable computed form in meV per atom: 42.9
Crystal system: trigonal
Fermi-level density of states in states/eV/cell: 13.8

a b c (Å): 3.5368 3.5368 33.8857
angles (deg): 90.00 90.00 120.00
Last column: nearest neighbours and their distance in Å.
Space group R3m (No. 160, hexagonal axes)
Symmetry-distinct sites (fractional):
Li1 0.0000 0.0000 0.0000 (multiplicity 3)  6 Dy 3.38, 6 Li 3.54
Nd1 0.0000 0.0000 0.8333 (multiplicity 3)  6 Nd 3.54, 6 Dy 3.59
Dy1 0.0000 0.0000 0.4130 (multiplicity 3)  3 Li 3.38, 6 Dy 3.54, 3 Nd 3.59
Dy2 0.0000 0.0000 0.5873 (multiplicity 3)  3 Li 3.38, 6 Dy 3.54, 3 Nd 3.59

Entry 2:
Material: Li2NdDy
Method: DFT, PBE
State: relaxed

Energy of formation in kJ/mol of atoms: 14.9
Offset from the most stable computed form in meV per atom: 2.4
Crystal system: cubic
Fermi-level density of states in states/eV/cell: 21.3

a b c (Å): 7.5369 7.5369 7.5369
angles (deg): 90.00 90.00 90.00
Last column: nearest neighbours and their distance in Å.
Space group Fm-3m (No. 225)
Symmetry-distinct sites (fractional):
Li1 0.2500 0.2500 0.2500 (multiplicity 8)  4 Dy 3.26, 4 Nd 3.26
Nd1 0.0000 0.0000 0.0000 (multiplicity 4)  8 Li 3.26
Dy1 0.0000 0.0000 0.5000 (multiplicity 4)  8 Li 3.26

Entry 3:
Material: Li2NdDy
Method: DFT, PBE
State: relaxed

Energy of formation in kJ/mol of atoms: 15.0
Offset from the most stable computed form in meV per atom: 4.2
Crystal system: tetragonal
Fermi-level density of states in states/eV/cell: 5.7

a b c (Å): 5.3413 5.3413 3.7500
angles (deg): 90.00 90.00 90.00
Last column: nearest neighbours and their distance in Å.
Space group P4/mmm (No. 123)
Symmetry-distinct sites (fractional):
Li1 0.0000 0.5000 0.0000 (multiplicity 2)  4 Dy 3.26, 4 Nd 3.26
Nd1 0.0000 0.0000 0.5000 (multiplicity 1)  8 Li 3.26
Dy1 0.5000 0.5000 0.5000 (multiplicity 1)  8 Li 3.26

Entry 4:
Material: LiNdDy2
Method: DFT, PBE
State: relaxed

Energy of formation in kJ/mol of atoms: 7.4
Offset from the most stable computed form in meV per atom: 0.0
Crystal system: tetragonal
Fermi-level density of states in states/eV/cell: 5.7

a b c (Å): 3.6629 3.6629 8.7749
angles (deg): 90.00 90.00 90.00
Last column: nearest neighbours and their distance in Å.
Space group P4/mmm (No. 123)
Symmetry-distinct sites (fractional):
Li1 0.0000 0.0000 0.0000 (multiplicity 1)  8 Dy 3.21
Nd1 0.0000 0.0000 0.5000 (multiplicity 1)  8 Dy 3.59, 4 Nd 3.66
Dy1 0.5000 0.5000 0.2159 (multiplicity 2)  4 Li 3.21

Entry 5:
Material: LiNdDyNi
Method: DFT, PBE
State: relaxed

Energy of formation in kJ/mol of atoms: -8.4
Crystal system: cubic
Fermi-level density of states in states/eV/cell: 12.8

a b c (Å): 7.0807 7.0807 7.0807
angles (deg): 90.00 90.00 90.00
Last column: nearest neighbours and their distance in Å.
Space group F-43m (No. 216)
Symmetry-distinct sites (fractional):
Li1 0.0000 0.0000 0.0000 (multiplicity 4)  4 Nd 3.07, 4 Dy 3.07
Nd1 0.2500 0.2500 0.2500 (multiplicity 4)  4 Ni 3.07, 4 Li 3.07
Dy1 0.2500 0.2500 0.7500 (multiplicity 4)  4 Li 3.07, 4 Ni 3.07
Ni1 0.0000 0.0000 0.5000 (multiplicity 4)  4 Dy 3.07, 4 Nd 3.07

Entry 6:
Material: LiNdDyOs
Method: DFT, PBE
State: relaxed

Energy of formation in kJ/mol of atoms: -14.3
Crystal system: cubic
Fermi-level density of states in states/eV/cell: 9.2

a b c (Å): 7.0395 7.0395 7.0395
angles (deg): 90.00 90.00 90.00
Last column: nearest neighbours and their distance in Å.
Space group F-43m (No. 216)
Symmetry-distinct sites (fractional):
Li1 0.0000 0.0000 0.0000 (multiplicity 4)  4 Nd 3.05, 4 Dy 3.05
Nd1 0.2500 0.2500 0.2500 (multiplicity 4)  4 Li 3.05, 4 Os 3.05
Dy1 0.2500 0.2500 0.7500 (multiplicity 4)  4 Li 3.05, 4 Os 3.05
Os1 0.0000 0.0000 0.5000 (multiplicity 4)  4 Dy 3.05, 4 Nd 3.05

Entry 7:
Material: Li2Nd2DyPb2
Method: DFT, PBE
State: relaxed

Energy of formation in kJ/mol of atoms: -32.1
Crystal system: trigonal
Fermi-level density of states in states/eV/cell: 14.2

a b c (Å): 4.8523 4.8523 27.8121
angles (deg): 90.00 90.00 120.00
Last column: nearest neighbours and their distance in Å.
Space group R-3m (No. 166, hexagonal axes)
Symmetry-distinct sites (fractional):
Li1 0.0000 0.0000 0.1045 (multiplicity 6)  3 Pb 2.80
Nd1 0.0000 0.0000 0.3722 (multiplicity 6)  3 Pb 3.29, 3 Li 3.34, 3 Nd 3.54, 1 Dy 3.55
Dy1 0.0000 0.0000 0.5000 (multiplicity 3)  6 Li 3.29, 6 Pb 3.34, 2 Nd 3.55
Pb1 0.0000 0.0000 0.2322 (multiplicity 6)  3 Li 2.80

Entry 8:
Material: LiNdDyPb
Method: DFT, PBE
State: relaxed

Energy of formation in kJ/mol of atoms: -28.4
Crystal system: cubic
Fermi-level density of states in states/eV/cell: 13.0

a b c (Å): 7.5905 7.5905 7.5905
angles (deg): 90.00 90.00 90.00
Last column: nearest neighbours and their distance in Å.
Space group F-43m (No. 216)
Symmetry-distinct sites (fractional):
Li1 0.0000 0.0000 0.0000 (multiplicity 4)  4 Dy 3.29, 4 Nd 3.29
Nd1 0.2500 0.2500 0.7500 (multiplicity 4)  4 Pb 3.29, 4 Li 3.29
Dy1 0.2500 0.2500 0.2500 (multiplicity 4)  4 Pb 3.29, 4 Li 3.29
Pb1 0.0000 0.0000 0.5000 (multiplicity 4)  4 Nd 3.29, 4 Dy 3.29

Entry 9:
Material: LiNdDy2Pd4
Method: DFT, PBE
State: relaxed

Energy of formation in kJ/mol of atoms: -71.6
Crystal system: trigonal
Fermi-level density of states in states/eV/cell: 12.6

a b c (Å): 4.8834 4.8834 24.1114
angles (deg): 90.00 90.00 120.00
Last column: nearest neighbours and their distance in Å.
Space group R-3m (No. 166, hexagonal axes)
Symmetry-distinct sites (fractional):
Li1 0.0000 0.0000 0.0000 (multiplicity 3)  8 Pd 2.80-3.02
Nd1 0.0000 0.0000 0.5000 (multiplicity 3)  8 Pd 2.95-3.07
Dy1 0.0000 0.0000 0.2601 (multiplicity 6)  7 Pd 2.83-3.00
Pd1 0.0000 0.0000 0.1160 (multiplicity 6)  1 Li 2.80, 3 Dy 3.00, 3 Nd 3.07
Pd2 0.0000 0.0000 0.3777 (multiplicity 6)  4 Dy 2.83-2.90, 1 Nd 2.95, 3 Li 3.02

Entry 10:
Material: LiPrNdDy
Method: DFT, PBE
State: relaxed

Energy of formation in kJ/mol of atoms: 15.3
Crystal system: cubic
Fermi-level density of states in states/eV/cell: 20.1

a b c (Å): 7.9357 7.9357 7.9357
angles (deg): 90.00 90.00 90.00
Last column: nearest neighbours and their distance in Å.
Space group F-43m (No. 216)
Symmetry-distinct sites (fractional):
Li1 0.0000 0.0000 0.0000 (multiplicity 4)  4 Nd 3.44, 4 Pr 3.44
Pr1 0.2500 0.2500 0.7500 (multiplicity 4)  4 Dy 3.44, 4 Li 3.44
Nd1 0.2500 0.2500 0.2500 (multiplicity 4)  4 Dy 3.44, 4 Li 3.44
Dy1 0.0000 0.0000 0.5000 (multiplicity 4)  4 Pr 3.44, 4 Nd 3.44

Entry 11:
Material: LiNdDyRe
Method: DFT, PBE
State: relaxed

Energy of formation in kJ/mol of atoms: 12.3
Crystal system: cubic
Fermi-level density of states in states/eV/cell: 14.2

a b c (Å): 7.0549 7.0549 7.0549
angles (deg): 90.00 90.00 90.00
Last column: nearest neighbours and their distance in Å.
Space group F-43m (No. 216)
Symmetry-distinct sites (fractional):
Li1 0.0000 0.0000 0.0000 (multiplicity 4)  4 Nd 3.05, 4 Dy 3.05
Nd1 0.2500 0.2500 0.7500 (multiplicity 4)  4 Li 3.05, 4 Re 3.05
Dy1 0.2500 0.2500 0.2500 (multiplicity 4)  4 Li 3.05, 4 Re 3.05
Re1 0.0000 0.0000 0.5000 (multiplicity 4)  4 Dy 3.05, 4 Nd 3.05

Entry 12:
Material: LiNdDyRu
Method: DFT, PBE
State: relaxed

Energy of formation in kJ/mol of atoms: -19.8
Crystal system: cubic
Fermi-level density of states in states/eV/cell: 9.4

a b c (Å): 7.0582 7.0582 7.0582
angles (deg): 90.00 90.00 90.00
Last column: nearest neighbours and their distance in Å.
Space group F-43m (No. 216)
Symmetry-distinct sites (fractional):
Li1 0.0000 0.0000 0.0000 (multiplicity 4)  4 Dy 3.06, 4 Nd 3.06
Nd1 0.2500 0.2500 0.2500 (multiplicity 4)  4 Li 3.06, 4 Ru 3.06
Dy1 0.2500 0.2500 0.7500 (multiplicity 4)  4 Li 3.06, 4 Ru 3.06
Ru1 0.0000 0.0000 0.5000 (multiplicity 4)  4 Dy 3.06, 4 Nd 3.06